# Ni3PdPt6

A relaxed Ni3PdPt6 crystal (GGA-PBE, the Alexandria database).

The structure belongs to space group Cmc2_1 (No. 36); the cell edges are 9.138, 13.021 and 5.070 Å and the angles 90.00°, 90.00° and 90.00°. Symmetry generates all atoms from Ni at (0.000, 0.125, 0.000), Ni at (0.190, 0.398, 0.326), Pd at (0.000, 0.321, 0.011), Pt at (0.000, 0.232, 0.514), Pt at (0.000, 0.467, 0.644), Pt at (0.147, 0.043, 0.460) and Pt at (0.245, 0.210, 0.219).

Its theoretical density is 16.0 g/cm3. Its calculated total energy is -57.25 eV/f.u. The energy of formation from the pure elements comes out at 0.15 eV/atom.